! Nd2Mg | Alexandria | PBE | optimized geometry; values from VASP
! Energy of formation from the pure elements (eV/f.u.): 0.87
! ΔE to the lowest computed polymorph (meV/atom): 352
&SYSTEM
  ibrav = 0, nat = 6, ntyp = 2
/
ATOMIC_SPECIES
Nd 144.24 Nd.upf
Mg 24.30 Mg.upf
CELL_PARAMETERS angstrom
6.580 0.000 0.000
3.290 5.699 0.000
3.290 1.900 5.373
ATOMIC_POSITIONS crystal
Nd 0.625 0.125 0.625
Nd 0.625 0.625 0.125
Nd 0.625 0.625 0.625
Nd 0.125 0.625 0.625
Mg 0.250 0.250 0.250
Mg 0.000 0.000 0.000

! Mg6In5Hg | Alexandria | PBE | optimized geometry; values from VASP
! Energy of formation from the pure elements (eV/f.u.): -1.30
&SYSTEM
  ibrav = 0, nat = 12, ntyp = 3
/
ATOMIC_SPECIES
Mg 24.30 Mg.upf
In 114.82 In.upf
Hg 200.59 Hg.upf
CELL_PARAMETERS angstrom
-4.287 -0.238 -1.669
1.723 -7.753 -3.322
-4.282 -3.132 5.087
ATOMIC_POSITIONS crystal
Mg 0.835 0.754 0.330
Mg 0.165 0.246 0.670
Mg 0.500 0.760 0.000
Mg 0.835 0.246 0.330
Mg 0.165 0.754 0.670
Mg 0.500 0.240 0.000
In 0.666 0.500 0.667
In 0.669 0.000 0.662
In 0.000 0.500 0.000
In 0.331 0.000 0.338
In 0.334 0.500 0.333
Hg 0.000 0.000 0.000

! Ba2HgSb4Au3 | Alexandria | PBE | optimized geometry; values from VASP
! ΔE_f (raw) (eV/atom): -0.56
&SYSTEM
  ibrav = 0, nat = 10, ntyp = 4
/
ATOMIC_SPECIES
Sb 121.76 Sb.upf
Au 196.97 Au.upf
Ba 137.33 Ba.upf
Hg 200.59 Hg.upf
CELL_PARAMETERS angstrom
-4.732 1.575 0.583
-1.513 -3.240 -3.525
-1.638 -7.856 7.923
ATOMIC_POSITIONS crystal
Sb 0.000 0.000 0.000
Sb 0.500 0.500 0.000
Sb 0.000 0.500 0.366
Sb 0.500 0.000 0.634
Au 0.000 0.000 0.500
Au 0.500 0.000 0.876
Au 0.000 0.500 0.124
Ba 0.500 0.000 0.253
Ba 0.000 0.500 0.747
Hg 0.500 0.500 0.500

! RbTeOs2 | Alexandria | PBE | optimized geometry; values from VASP
! ΔE_f (raw) (eV/atom): 1.71
&SYSTEM
  ibrav = 0, nat = 8, ntyp = 3
/
ATOMIC_SPECIES
Rb 85.47 Rb.upf
Os 190.23 Os.upf
Te 127.60 Te.upf
CELL_PARAMETERS angstrom
7.884 0.000 0.000
0.000 7.884 0.000
3.942 3.942 3.149
ATOMIC_POSITIONS crystal
Rb 0.250 0.750 0.500
Rb 0.500 0.500 0.000
Os 0.051 0.625 0.250
Os 0.375 0.301 0.750
Os 0.875 0.949 0.750
Os 0.699 0.125 0.250
Te 0.000 0.000 0.000
Te 0.750 0.250 0.500

! HfPd2Pt8 | Alexandria | PBE | optimized geometry; values from VASP
! Energy of formation from the pure elements (eV/f.u.): -3.70
&SYSTEM
  ibrav = 0, nat = 11, ntyp = 3
/
ATOMIC_SPECIES
Pt 195.08 Pt.upf
Pd 106.42 Pd.upf
Hf 178.49 Hf.upf
CELL_PARAMETERS angstrom
4.671 0.000 -1.090
-0.535 6.943 -2.296
-0.967 -2.066 6.414
ATOMIC_POSITIONS crystal
Pt 0.863 0.814 0.727
Pt 0.048 0.732 0.097
Pt 0.137 0.186 0.273
Pt 0.952 0.268 0.903
Pt 0.318 0.087 0.636
Pt 0.682 0.913 0.364
Pt 0.412 0.551 0.823
Pt 0.588 0.449 0.177
Pd 0.224 0.630 0.447
Pd 0.776 0.370 0.553
Hf 0.500 0.000 0.000

! TlSbTe | Alexandria | PBE | optimized geometry; values from VASP
! ΔE to the lowest computed polymorph (meV/atom): 0
! ΔE_f (raw) (eV/atom): -0.01
&SYSTEM
  ibrav = 0, nat = 3, ntyp = 3
/
ATOMIC_SPECIES
Sb 121.76 Sb.upf
Te 127.60 Te.upf
Tl 204.38 Tl.upf
CELL_PARAMETERS angstrom
6.666 -0.008 0.000
4.103 5.254 0.000
-5.384 -2.623 2.927
ATOMIC_POSITIONS crystal
Sb 0.960 0.960 0.000
Te 0.376 0.376 0.000
Tl 0.664 0.664 0.000

The following total moment values (in μB per formula unit) correspond, in order, to the records above: 0.21; 0.00; 0.00; 0.00; 0.00; 0.00.